[1]
{"formula": "Rb2PuCuCl6", "functional": "PBE-GGA", "state": "optimized geometry", "e_tot_ev_per_atom": -4.761, "total_magnetization_mub_per_atom": 0.500, "formation_energy_uncorrected_mev_per_atom": -1616, "lattice_angstrom": [[7.391, 0.000, 0.000], [-3.696, 6.401, 0.000], [0.000, 0.000, 6.448]], "species": ["Rb", "Rb", "Pu", "Cu", "Cl", "Cl", "Cl", "Cl", "Cl", "Cl"], "frac_coords": [[0.333, 0.667, 0.193], [0.667, 0.333, 0.807], [0.000, 0.000, 0.500], [0.000, 0.000, 0.000], [0.164, 0.328, 0.765], [0.164, 0.836, 0.765], [0.328, 0.164, 0.235], [0.672, 0.836, 0.765], [0.836, 0.164, 0.235], [0.836, 0.672, 0.235]]}


[2]
{"formula": "SrPuCu2Cl8", "functional": "PBE-GGA", "state": "optimized geometry", "e_tot_ev_per_atom": -4.615, "total_magnetization_mub_per_atom": 0.332, "formation_energy_uncorrected_mev_per_atom": -1367, "lattice_angstrom": [[6.289, 0.000, 0.000], [-3.145, 5.447, 0.000], [0.000, 0.000, 9.207]], "species": ["Sr", "Pu", "Cu", "Cu", "Cl", "Cl", "Cl", "Cl", "Cl", "Cl", "Cl", "Cl"], "frac_coords": [[0.000, 0.000, 0.000], [0.000, 0.000, 0.500], [0.333, 0.667, 0.761], [0.667, 0.333, 0.239], [0.011, 0.689, 0.310], [0.311, 0.323, 0.310], [0.323, 0.011, 0.690], [0.333, 0.667, 0.004], [0.667, 0.333, 0.996], [0.677, 0.989, 0.310], [0.689, 0.677, 0.690], [0.989, 0.311, 0.690]]}


[3]
{"formula": "PuTlCuCl6", "functional": "PBE-GGA", "state": "optimized geometry", "e_tot_ev_per_atom": -4.804, "total_magnetization_mub_per_atom": 0.444, "formation_energy_uncorrected_mev_per_atom": -1262, "lattice_angstrom": [[6.683, 0.000, 0.000], [-3.341, 5.788, 0.000], [0.000, 0.000, 14.370]], "species": ["Pu", "Pu", "Tl", "Tl", "Cu", "Cu", "Cl", "Cl", "Cl", "Cl", "Cl", "Cl", "Cl", "Cl", "Cl", "Cl", "Cl", "Cl"], "frac_coords": [[0.333, 0.667, 0.250], [0.667, 0.333, 0.750], [0.000, 0.000, 0.000], [0.000, 0.000, 0.500], [0.333, 0.667, 0.750], [0.667, 0.333, 0.250], [0.014, 0.372, 0.647], [0.014, 0.642, 0.853], [0.358, 0.372, 0.853], [0.358, 0.986, 0.647], [0.372, 0.014, 0.147], [0.372, 0.358, 0.353], [0.628, 0.642, 0.647], [0.628, 0.986, 0.853], [0.642, 0.014, 0.353], [0.642, 0.628, 0.147], [0.986, 0.358, 0.147], [0.986, 0.628, 0.353]]}


[4]
{"formula": "PuTlCuCl5", "functional": "PBE-GGA", "state": "optimized geometry", "e_tot_ev_per_atom": -5.068, "total_magnetization_mub_per_atom": 0.625, "formation_energy_uncorrected_mev_per_atom": -1315, "lattice_angstrom": [[4.481, -5.998, 0.000], [4.481, 5.998, 0.000], [-4.119, 0.000, 9.311]], "species": ["Pu", "Pu", "Tl", "Tl", "Cu", "Cu", "Cl", "Cl", "Cl", "Cl", "Cl", "Cl", "Cl", "Cl", "Cl", "Cl"], "frac_coords": [[0.000, 0.000, 0.000], [0.000, 0.000, 0.500], [0.353, 0.647, 0.750], [0.647, 0.353, 0.250], [0.307, 0.693, 0.250], [0.693, 0.307, 0.750], [0.083, 0.917, 0.750], [0.095, 0.685, 0.382], [0.243, 0.384, 0.080], [0.315, 0.905, 0.118], [0.384, 0.243, 0.580], [0.616, 0.757, 0.420], [0.685, 0.095, 0.882], [0.757, 0.616, 0.920], [0.905, 0.315, 0.618], [0.917, 0.083, 0.250]]}


[5]
{"formula": "PuTl2CuCl6", "functional": "PBE-GGA", "state": "optimized geometry", "e_tot_ev_per_atom": -4.637, "total_magnetization_mub_per_atom": 0.500, "formation_energy_uncorrected_mev_per_atom": -1213, "lattice_angstrom": [[7.307, 0.000, 0.000], [-3.653, 6.328, 0.000], [0.000, 0.000, 6.499]], "species": ["Pu", "Tl", "Tl", "Cu", "Cl", "Cl", "Cl", "Cl", "Cl", "Cl"], "frac_coords": [[0.000, 0.000, 0.000], [0.333, 0.667, 0.645], [0.667, 0.333, 0.355], [0.000, 0.000, 0.500], [0.165, 0.329, 0.268], [0.165, 0.835, 0.268], [0.329, 0.165, 0.732], [0.671, 0.835, 0.268], [0.835, 0.165, 0.732], [0.835, 0.671, 0.732]]}


[6]
{"formula": "RbCuCl2", "functional": "PBE-GGA", "state": "optimized geometry", "e_tot_ev_per_atom": -3.335, "total_magnetization_mub_per_atom": 0.000, "formation_energy_uncorrected_mev_per_atom": -1146, "lattice_angstrom": [[6.597, 0.000, 0.000], [0.000, 6.098, 0.000], [0.000, 0.000, 10.719]], "species": ["Rb", "Rb", "Rb", "Rb", "Cu", "Cu", "Cu", "Cu", "Cl", "Cl", "Cl", "Cl", "Cl", "Cl", "Cl", "Cl"], "frac_coords": [[0.133, 0.250, 0.129], [0.367, 0.750, 0.629], [0.633, 0.250, 0.371], [0.867, 0.750, 0.871], [0.033, 0.750, 0.371], [0.467, 0.250, 0.871], [0.533, 0.750, 0.129], [0.967, 0.250, 0.629], [0.126, 0.250, 0.447], [0.127, 0.250, 0.820], [0.373, 0.750, 0.320], [0.374, 0.750, 0.947], [0.626, 0.250, 0.053], [0.627, 0.250, 0.680], [0.873, 0.750, 0.180], [0.874, 0.750, 0.553]]}


[7]
{"formula": "Rb3CuCl", "functional": "PBE-GGA", "state": "optimized geometry", "e_tot_ev_per_atom": -2.213, "total_magnetization_mub_per_atom": 0.000, "formation_energy_uncorrected_mev_per_atom": -444, "lattice_angstrom": [[6.338, 0.000, 0.000], [0.000, 6.338, 0.000], [0.000, 0.000, 6.338]], "species": ["Rb", "Rb", "Rb", "Cu", "Cl"], "frac_coords": [[0.000, 0.000, 0.500], [0.000, 0.500, 0.000], [0.500, 0.000, 0.000], [0.500, 0.500, 0.500], [0.000, 0.000, 0.000]]}


[8]
{"formula": "Rb4Cu3Cl12", "functional": "PBE-GGA", "state": "optimized geometry", "e_tot_ev_per_atom": -3.071, "total_magnetization_mub_per_atom": 0.062, "formation_energy_uncorrected_mev_per_atom": -1054, "lattice_angstrom": [[-5.638, 5.638, 5.638], [5.638, -5.638, 5.638], [5.638, 5.638, -5.638]], "species": ["Rb", "Rb", "Rb", "Rb", "Cu", "Cu", "Cu", "Cl", "Cl", "Cl", "Cl", "Cl", "Cl", "Cl", "Cl", "Cl", "Cl", "Cl", "Cl"], "frac_coords": [[0.000, 0.000, 0.500], [0.000, 0.500, 0.000], [0.500, 0.000, 0.000], [0.500, 0.500, 0.500], [0.000, 0.500, 0.500], [0.500, 0.000, 0.500], [0.500, 0.500, 0.000], [0.139, 0.499, 0.361], [0.139, 0.778, 0.639], [0.222, 0.361, 0.861], [0.361, 0.139, 0.499], [0.361, 0.861, 0.222], [0.499, 0.361, 0.139], [0.501, 0.639, 0.861], [0.639, 0.139, 0.778], [0.639, 0.861, 0.501], [0.778, 0.639, 0.139], [0.861, 0.222, 0.361], [0.861, 0.501, 0.639]]}


[9]
{"formula": "RbCu3Cl4", "functional": "PBE-GGA", "state": "optimized geometry", "e_tot_ev_per_atom": -3.380, "total_magnetization_mub_per_atom": 0.000, "formation_energy_uncorrected_mev_per_atom": -800, "lattice_angstrom": [[7.822, 0.000, 0.000], [0.000, 4.456, 0.000], [-3.244, 0.000, 7.140]], "species": ["Rb", "Cu", "Cu", "Cu", "Cl", "Cl", "Cl", "Cl"], "frac_coords": [[0.000, 0.000, 0.000], [0.431, 0.500, 0.657], [0.500, 0.500, 0.000], [0.569, 0.500, 0.343], [0.221, 0.500, 0.779], [0.277, 0.500, 0.317], [0.723, 0.500, 0.683], [0.779, 0.500, 0.221]]}


[10]
{"formula": "Rb3Cu2Cl8", "functional": "PBE-GGA", "state": "optimized geometry", "e_tot_ev_per_atom": -3.102, "total_magnetization_mub_per_atom": 0.241, "formation_energy_uncorrected_mev_per_atom": -1112, "lattice_angstrom": [[3.481, 2.010, 9.437], [-3.481, 2.010, 9.437], [0.000, -4.020, 9.437]], "species": ["Rb", "Rb", "Rb", "Cu", "Cu", "Cl", "Cl", "Cl", "Cl", "Cl", "Cl", "Cl", "Cl"], "frac_coords": [[0.000, 0.000, 0.000], [0.209, 0.209, 0.209], [0.791, 0.791, 0.791], [0.404, 0.404, 0.404], [0.596, 0.596, 0.596], [0.225, 0.734, 0.734], [0.266, 0.266, 0.775], [0.266, 0.775, 0.266], [0.326, 0.326, 0.326], [0.674, 0.674, 0.674], [0.734, 0.225, 0.734], [0.734, 0.734, 0.225], [0.775, 0.266, 0.266]]}


[11]
{"formula": "Rb2Cu3Cl8", "functional": "PBE-GGA", "state": "optimized geometry", "e_tot_ev_per_atom": -3.141, "total_magnetization_mub_per_atom": 0.059, "formation_energy_uncorrected_mev_per_atom": -910, "lattice_angstrom": [[7.439, -4.169, 0.000], [7.439, 4.169, 0.000], [-2.518, 0.000, 6.092]], "species": ["Rb", "Rb", "Cu", "Cu", "Cu", "Cl", "Cl", "Cl", "Cl", "Cl", "Cl", "Cl", "Cl"], "frac_coords": [[0.232, 0.232, 0.148], [0.768, 0.768, 0.852], [0.185, 0.815, 0.500], [0.500, 0.500, 0.000], [0.815, 0.185, 0.500], [0.117, 0.117, 0.497], [0.209, 0.645, 0.162], [0.355, 0.791, 0.838], [0.360, 0.360, 0.714], [0.640, 0.640, 0.286], [0.645, 0.209, 0.162], [0.791, 0.355, 0.838], [0.883, 0.883, 0.503]]}


[12]
{"formula": "Rb2Cu3Cl5", "functional": "PBE-GGA", "state": "optimized geometry", "e_tot_ev_per_atom": -3.284, "total_magnetization_mub_per_atom": 0.000, "formation_energy_uncorrected_mev_per_atom": -939, "lattice_angstrom": [[-4.389, 8.344, 3.423], [4.389, -8.344, 3.423], [4.389, 8.344, -3.423]], "species": ["Rb", "Rb", "Rb", "Rb", "Cu", "Cu", "Cu", "Cu", "Cu", "Cu", "Cl", "Cl", "Cl", "Cl", "Cl", "Cl", "Cl", "Cl", "Cl", "Cl"], "frac_coords": [[0.161, 0.195, 0.356], [0.339, 0.695, 0.033], [0.661, 0.305, 0.967], [0.839, 0.805, 0.644], [0.100, 0.581, 0.681], [0.250, 0.250, 0.000], [0.400, 0.081, 0.482], [0.600, 0.919, 0.518], [0.750, 0.750, 0.000], [0.900, 0.419, 0.319], [0.051, 0.750, 0.301], [0.068, 0.859, 0.927], [0.250, 0.750, 0.500], [0.432, 0.359, 0.790], [0.449, 0.750, 0.699], [0.551, 0.250, 0.301], [0.568, 0.641, 0.210], [0.750, 0.250, 0.500], [0.932, 0.141, 0.073], [0.949, 0.250, 0.699]]}


[13]
{"formula": "RbCuCl3", "functional": "PBE-GGA", "state": "optimized geometry", "e_tot_ev_per_atom": -3.216, "total_magnetization_mub_per_atom": 0.202, "formation_energy_uncorrected_mev_per_atom": -1095, "lattice_angstrom": [[7.155, 0.000, 0.000], [0.000, 11.868, 0.000], [0.000, 0.000, 6.591]], "species": ["Rb", "Rb", "Rb", "Rb", "Cu", "Cu", "Cu", "Cu", "Cl", "Cl", "Cl", "Cl", "Cl", "Cl", "Cl", "Cl", "Cl", "Cl", "Cl", "Cl"], "frac_coords": [[0.000, 0.158, 0.250], [0.000, 0.842, 0.750], [0.500, 0.342, 0.750], [0.500, 0.658, 0.250], [0.000, 0.500, 0.000], [0.000, 0.500, 0.500], [0.500, 0.000, 0.000], [0.500, 0.000, 0.500], [0.000, 0.359, 0.750], [0.000, 0.641, 0.250], [0.241, 0.411, 0.163], [0.241, 0.589, 0.663], [0.259, 0.089, 0.663], [0.259, 0.911, 0.163], [0.500, 0.141, 0.250], [0.500, 0.859, 0.750], [0.741, 0.089, 0.837], [0.741, 0.911, 0.337], [0.759, 0.411, 0.337], [0.759, 0.589, 0.837]]}


[14]
{"formula": "Rb2CuCl7", "functional": "PBE-GGA", "state": "optimized geometry", "e_tot_ev_per_atom": -2.850, "total_magnetization_mub_per_atom": 0.000, "formation_energy_uncorrected_mev_per_atom": -954, "lattice_angstrom": [[-3.750, 3.750, 5.299], [3.750, -3.750, 5.299], [3.750, 3.750, -5.299]], "species": ["Rb", "Rb", "Cu", "Cl", "Cl", "Cl", "Cl", "Cl", "Cl", "Cl"], "frac_coords": [[0.250, 0.750, 0.500], [0.750, 0.250, 0.500], [0.000, 0.000, 0.000], [0.207, 0.207, 0.414], [0.207, 0.793, 0.000], [0.283, 0.283, 0.000], [0.500, 0.500, 0.000], [0.717, 0.717, 0.000], [0.793, 0.207, 0.000], [0.793, 0.793, 0.586]]}


[15]
{"formula": "RbCu4Cl7", "functional": "PBE-GGA", "state": "optimized geometry", "e_tot_ev_per_atom": -3.299, "total_magnetization_mub_per_atom": 0.170, "formation_energy_uncorrected_mev_per_atom": -776, "lattice_angstrom": [[15.635, 0.000, 0.000], [0.000, 6.321, 0.000], [0.000, 0.000, 6.261]], "species": ["Rb", "Rb", "Cu", "Cu", "Cu", "Cu", "Cu", "Cu", "Cu", "Cu", "Cl", "Cl", "Cl", "Cl", "Cl", "Cl", "Cl", "Cl", "Cl", "Cl", "Cl", "Cl", "Cl", "Cl"], "frac_coords": [[0.000, 0.201, 0.000], [0.500, 0.799, 0.500], [0.120, 0.669, 0.566], [0.250, 0.180, 0.546], [0.250, 0.820, 0.046], [0.380, 0.331, 0.066], [0.620, 0.331, 0.066], [0.750, 0.180, 0.546], [0.750, 0.820, 0.046], [0.880, 0.669, 0.566], [0.000, 0.822, 0.434], [0.120, 0.318, 0.487], [0.120, 0.719, 0.929], [0.240, 0.829, 0.419], [0.260, 0.171, 0.919], [0.380, 0.281, 0.429], [0.380, 0.682, 0.987], [0.500, 0.178, 0.934], [0.620, 0.281, 0.429], [0.620, 0.682, 0.987], [0.740, 0.171, 0.919], [0.760, 0.829, 0.419], [0.880, 0.318, 0.487], [0.880, 0.719, 0.929]]}


[16]
{"formula": "Rb3CuCl5", "functional": "PBE-GGA", "state": "optimized geometry", "e_tot_ev_per_atom": -3.264, "total_magnetization_mub_per_atom": 0.115, "formation_energy_uncorrected_mev_per_atom": -1460, "lattice_angstrom": [[-4.460, 4.460, 7.262], [4.460, -4.460, 7.262], [4.460, 4.460, -7.262]], "species": ["Rb", "Rb", "Rb", "Rb", "Rb", "Rb", "Cu", "Cu", "Cl", "Cl", "Cl", "Cl", "Cl", "Cl", "Cl", "Cl", "Cl", "Cl"], "frac_coords": [[0.165, 0.665, 0.830], [0.250, 0.250, 0.000], [0.335, 0.165, 0.500], [0.665, 0.835, 0.500], [0.750, 0.750, 0.000], [0.835, 0.335, 0.170], [0.250, 0.750, 0.500], [0.750, 0.250, 0.500], [0.000, 0.000, 0.000], [0.013, 0.789, 0.500], [0.211, 0.711, 0.224], [0.289, 0.513, 0.500], [0.487, 0.987, 0.776], [0.500, 0.500, 0.000], [0.513, 0.013, 0.224], [0.711, 0.487, 0.500], [0.789, 0.289, 0.776], [0.987, 0.211, 0.500]]}


[17]
{"formula": "RbCuCl3", "functional": "PBE-GGA", "state": "optimized geometry", "e_tot_ev_per_atom": -3.146, "total_magnetization_mub_per_atom": 0.209, "formation_energy_uncorrected_mev_per_atom": -1025, "lattice_angstrom": [[3.964, 0.000, 0.000], [0.000, 8.695, 0.000], [-0.103, 0.000, 8.433]], "species": ["Rb", "Rb", "Cu", "Cu", "Cl", "Cl", "Cl", "Cl", "Cl", "Cl"], "frac_coords": [[0.003, 0.250, 0.081], [0.997, 0.750, 0.919], [0.486, 0.250, 0.640], [0.514, 0.750, 0.360], [0.017, 0.750, 0.496], [0.493, 0.048, 0.809], [0.493, 0.452, 0.809], [0.507, 0.548, 0.191], [0.507, 0.952, 0.191], [0.983, 0.250, 0.504]]}


[18]
{"formula": "RbCu2Cl6", "functional": "PBE-GGA", "state": "optimized geometry", "e_tot_ev_per_atom": -2.958, "total_magnetization_mub_per_atom": 0.001, "formation_energy_uncorrected_mev_per_atom": -709, "lattice_angstrom": [[7.459, -2.564, 0.000], [7.459, 2.564, 0.000], [-5.071, 0.000, 8.029]], "species": ["Rb", "Cu", "Cu", "Cl", "Cl", "Cl", "Cl", "Cl", "Cl"], "frac_coords": [[0.000, 0.000, 0.000], [0.256, 0.256, 0.639], [0.744, 0.744, 0.361], [0.085, 0.085, 0.601], [0.231, 0.231, 0.384], [0.333, 0.333, 0.908], [0.667, 0.667, 0.092], [0.769, 0.769, 0.616], [0.915, 0.915, 0.399]]}


[19]
{"formula": "RbCuCl2", "functional": "PBE-GGA", "state": "optimized geometry", "e_tot_ev_per_atom": -3.397, "total_magnetization_mub_per_atom": 0.033, "formation_energy_uncorrected_mev_per_atom": -1207, "lattice_angstrom": [[2.600, 1.501, 7.144], [-2.600, 1.501, 7.144], [0.000, -3.003, 7.144]], "species": ["Rb", "Cu", "Cl", "Cl"], "frac_coords": [[0.000, 0.000, 0.000], [0.500, 0.500, 0.500], [0.402, 0.402, 0.402], [0.598, 0.598, 0.598]]}